This record from Alexandria describes LaTl2CdNi after structural relaxation. The functional is PBE.

ΔE to the lowest computed polymorph in eV per atom: 0.000
Spin magnetization in μB per atom: 0.0000
VASP energy in eV/atom: -3.4197
Space group: P4/mmm, No. 123

Unit cell a=5.1750 b=5.1750 c=5.1052 alpha=90.00 beta=90.00 gamma=90.00
Sites, in units of the cell vectors:
Tl 0.5000 0.0000 0.0000
Tl 0.0000 0.5000 0.0000
Cd 0.5000 0.5000 0.5000
Ni 0.0000 0.0000 0.0000
La 0.0000 0.0000 0.5000